Here is a geometry-optimized BaPa2BO8 structure from the Alexandria database. Energies are from PBE-GGA.

```
data_BaPa2BO8
_space_group_name_H-M_alt 'P -3 m 1'
_space_group_IT_number 164
_space_group_name_Hall '-P 3 2"'
_cell_length_a 4.8716
_cell_length_b 4.8716
_cell_length_c 7.7403
_cell_angle_alpha 90.00
_cell_angle_beta 90.00
_cell_angle_gamma 120.00
loop_
_atom_site_label
_atom_site_fract_x
_atom_site_fract_y
_atom_site_fract_z
Ba1 0.0000 0.0000 0.0000
Pa1 0.3333 0.6667 0.3627
B1 0.0000 0.0000 0.5000
O1 0.1622 0.3243 0.6287
O2 0.3333 0.6667 0.1089
```

Its formation energy (no corrections) is -2.689 eV per atom. For the total energy, the calculation gives -8.29 eV per atom.